A plane-wave DFT calculation with GGA+U was carried out for an optimized crystal structure of CsDyV2O8. Values from VASP.

Calculated values
Total DFT energy (no corrections) (eV/atom): -6.99
SG: P-3m1
D(E_F) (states/eV/f.u.): 10.698

Cell and atoms, written as Quantum ESPRESSO input:
```
&SYSTEM
  ibrav = 0, nat = 12, ntyp = 4
/
ATOMIC_SPECIES
Cs 132.91 Cs.upf
Dy 162.50 Dy.upf
V 50.94 V.upf
O 16.00 O.upf
ATOMIC_POSITIONS crystal
Cs 0.000 0.000 0.000
Dy 0.000 0.000 0.500
V 0.333 0.667 0.726
V 0.667 0.333 0.274
O 0.173 0.347 0.660
O 0.173 0.827 0.660
O 0.333 0.667 0.928
O 0.347 0.173 0.340
O 0.653 0.827 0.660
O 0.667 0.333 0.072
O 0.827 0.173 0.340
O 0.827 0.653 0.340
CELL_PARAMETERS angstrom
5.978 0.000 0.000
-2.989 5.177 0.000
0.000 0.000 8.471
```

A plane-wave DFT calculation with GGA+U was carried out for an optimized crystal structure of Cs2DyW3O12. Values from VASP.

Calculated values
Total DFT energy (no corrections) (eV/atom): -7.05
SG: R-3m
D(E_F) (states/eV/f.u.): 11.516

Cell and atoms, written as Quantum ESPRESSO input:
```
&SYSTEM
  ibrav = 0, nat = 18, ntyp = 4
/
ATOMIC_SPECIES
Cs 132.91 Cs.upf
Dy 162.50 Dy.upf
W 183.84 W.upf
O 16.00 O.upf
ATOMIC_POSITIONS crystal
Cs 0.125 0.125 0.125
Cs 0.875 0.875 0.875
Dy 0.500 0.500 0.500
W 0.000 0.500 0.500
W 0.500 0.000 0.500
W 0.500 0.500 0.000
O 0.148 0.574 0.574
O 0.199 0.199 0.567
O 0.199 0.567 0.199
O 0.426 0.426 0.852
O 0.426 0.852 0.426
O 0.433 0.801 0.801
O 0.567 0.199 0.199
O 0.574 0.148 0.574
O 0.574 0.574 0.148
O 0.801 0.433 0.801
O 0.801 0.801 0.433
O 0.852 0.426 0.426
CELL_PARAMETERS angstrom
3.760 2.171 6.357
-3.760 2.171 6.357
0.000 -4.342 6.357
```

A plane-wave DFT calculation with GGA+U was carried out for an optimized crystal structure of CsDyW2O8. Values from VASP.

Calculated values
Total DFT energy (no corrections) (eV/atom): -7.33
SG: R-3
D(E_F) (states/eV/f.u.): 0.000

Cell and atoms, written as Quantum ESPRESSO input:
```
&SYSTEM
  ibrav = 0, nat = 12, ntyp = 4
/
ATOMIC_SPECIES
Cs 132.91 Cs.upf
Dy 162.50 Dy.upf
W 183.84 W.upf
O 16.00 O.upf
ATOMIC_POSITIONS crystal
Cs 0.000 0.000 0.000
Dy 0.500 0.500 0.500
W 0.237 0.237 0.237
W 0.763 0.763 0.763
O 0.106 0.726 0.520
O 0.274 0.480 0.894
O 0.304 0.304 0.304
O 0.480 0.894 0.274
O 0.520 0.106 0.726
O 0.696 0.696 0.696
O 0.726 0.520 0.106
O 0.894 0.274 0.480
CELL_PARAMETERS angstrom
2.917 1.684 8.912
-2.917 1.684 8.912
0.000 -3.369 8.912
```

A plane-wave DFT calculation with GGA+U was carried out for an optimized crystal structure of CsDyW2O8. Values from VASP.

Calculated values
Total DFT energy (no corrections) (eV/atom): -7.37
SG: C2/c
D(E_F) (states/eV/f.u.): 0.000

Cell and atoms, written as Quantum ESPRESSO input:
```
&SYSTEM
  ibrav = 0, nat = 24, ntyp = 4
/
ATOMIC_SPECIES
Cs 132.91 Cs.upf
Dy 162.50 Dy.upf
W 183.84 W.upf
O 16.00 O.upf
ATOMIC_POSITIONS crystal
Cs 0.199 0.801 0.750
Cs 0.801 0.199 0.250
Dy 0.222 0.778 0.250
Dy 0.778 0.222 0.750
W 0.303 0.312 0.287
W 0.312 0.303 0.787
W 0.688 0.697 0.213
W 0.697 0.688 0.713
O 0.050 0.237 0.709
O 0.057 0.355 0.122
O 0.237 0.050 0.209
O 0.254 0.377 0.565
O 0.355 0.057 0.622
O 0.376 0.595 0.041
O 0.377 0.254 0.065
O 0.405 0.624 0.459
O 0.595 0.376 0.541
O 0.623 0.746 0.935
O 0.624 0.405 0.959
O 0.645 0.943 0.378
O 0.746 0.623 0.435
O 0.763 0.950 0.791
O 0.943 0.645 0.878
O 0.950 0.763 0.291
CELL_PARAMETERS angstrom
5.546 -5.396 0.000
5.546 5.396 0.000
-4.881 0.000 5.766
```

Q: Which of these has the highest D(E_F)?
A: Cs2DyW3O12